Entry 1:
Here is a crystal of K2SrReW relaxed with PBEsol from Alexandria via LeMat-Bulk. Energies are from SCAN.

Output
**Total magnetization**: 0.4 μB per formula unit
**Calculated formation energy**: 1542 meV per atom
**Calculated volume**: 180.40 Å³ per cell

Unit cell a=6.208 b=6.208 c=4.681 alpha=90.00 beta=90.00 gamma=90.00
Sites, in units of the cell vectors:
K 0.000 0.500 0.000
K 0.500 0.000 0.000
Sr 0.000 0.000 0.500
Re 0.500 0.500 0.000
W 0.500 0.500 0.500


Entry 2:
Here is a crystal of PbIO2 relaxed with PBEsol from Alexandria via LeMat-Bulk. Energies are from SCAN.

Output
**Total magnetization**: 0.8 μB per formula unit
**DFT total energy**: -31.777 eV per atom
**Calculated volume**: 80.95 Å³ per cell

Unit cell a=7.002 b=7.002 c=7.002 alpha=31.03 beta=31.03 gamma=31.03
Sites, in units of the cell vectors:
Pb 0.000 0.000 0.000
I 0.500 0.500 0.500
O 0.393 0.393 0.393
O 0.607 0.607 0.607


Entry 3:
Here is a crystal of Zr3In relaxed with PBEsol from Alexandria via LeMat-Bulk. Energies are from SCAN.

Output
**Total magnetization**: 0.0 μB per formula unit
**Calculated formation energy**: -279 meV per atom
**Calculated volume**: 173.45 Å³ per cell

Unit cell a=5.153 b=6.064 c=5.551 alpha=90.00 beta=90.00 gamma=90.00
Sites, in units of the cell vectors:
Zr 0.250 0.000 0.154
Zr 0.250 0.250 0.646
Zr 0.250 0.500 0.154
Zr 0.750 0.000 0.846
Zr 0.750 0.500 0.846
Zr 0.750 0.750 0.354
In 0.250 0.750 0.663
In 0.750 0.250 0.337


Entry 4:
Here is a crystal of V11NiO18 relaxed with PBEsol from Alexandria via LeMat-Bulk. Energies are from SCAN.

Output
**Total magnetization**: 19.0 μB per formula unit
**DFT total energy**: -13.220 eV per atom
**Calculated volume**: 281.08 Å³ per cell

Unit cell a=5.465 b=7.270 c=8.295 alpha=112.36 beta=104.60 gamma=100.11
Sites, in units of the cell vectors:
V 0.000 0.000 0.000
V 0.001 0.499 0.000
V 0.303 0.344 0.329
V 0.307 0.847 0.336
V 0.329 0.827 0.666
V 0.337 0.332 0.673
V 0.642 0.684 0.005
V 0.664 0.659 0.332
V 0.670 0.166 0.339
V 0.968 0.009 0.669
V 0.972 0.510 0.668
Ni 0.624 0.185 0.000
O 0.043 0.311 0.775
O 0.048 0.314 0.453
O 0.050 0.306 0.106
O 0.250 0.020 0.879
O 0.261 0.030 0.561
O 0.270 0.038 0.226
O 0.369 0.638 0.779
O 0.376 0.645 0.441
O 0.379 0.648 0.117
O 0.592 0.363 0.552
O 0.601 0.366 0.235
O 0.608 0.379 0.891
O 0.702 0.971 0.444
O 0.710 0.969 0.781
O 0.723 0.981 0.117
O 0.928 0.698 0.893
O 0.930 0.695 0.219
O 0.935 0.701 0.557


Entry 5:
Here is a crystal of CrCoSe2 relaxed with PBEsol from Alexandria via LeMat-Bulk. Energies are from SCAN.

Output
**Total magnetization**: 1.7 μB per formula unit
**DFT total energy**: -18.394 eV per atom
**Calculated volume**: 60.70 Å³ per cell

Unit cell a=4.411 b=4.411 c=4.411 alpha=60.00 beta=60.00 gamma=60.00
Sites, in units of the cell vectors:
Cr 0.000 0.000 0.000
Co 0.250 0.250 0.250
Se 0.500 0.500 0.500
Se 0.750 0.750 0.750


Entry 6:
Here is a crystal of CaLaAu2 relaxed with PBEsol from Alexandria via LeMat-Bulk. Energies are from SCAN.

Output
**Total magnetization**: 0.0 μB per formula unit
**Calculated formation energy**: -991 meV per atom
**Calculated volume**: 96.43 Å³ per cell

Unit cell a=5.193 b=5.193 c=3.576 alpha=90.00 beta=90.00 gamma=90.00
Sites, in units of the cell vectors:
Ca 0.000 0.000 0.000
La 0.500 0.500 0.000
Au 0.000 0.500 0.500
Au 0.500 0.000 0.500


Entry 7:
Here is a crystal of Y2Zr relaxed with PBEsol from Alexandria via LeMat-Bulk. Energies are from SCAN.

Output
**Total magnetization**: 0.0 μB per formula unit
**Calculated formation energy**: 116 meV per atom
**Calculated volume**: 81.76 Å³ per cell

Unit cell a=7.592 b=7.592 c=7.592 alpha=154.37 beta=154.37 gamma=36.56
Sites, in units of the cell vectors:
Y 0.155 0.155 0.000
Y 0.845 0.845 0.000
Zr 0.500 0.500 0.000


Entry 8:
Here is a crystal of InOsBr2 relaxed with PBEsol from Alexandria via LeMat-Bulk. Energies are from SCAN.

Output
**Total magnetization**: 0.0 μB per formula unit
**DFT total energy**: -35.786 eV per atom
**Calculated volume**: 90.15 Å³ per cell

Unit cell a=8.287 b=8.287 c=8.287 alpha=25.11 beta=25.11 gamma=25.11
Sites, in units of the cell vectors:
In 0.000 0.000 0.000
Os 0.744 0.744 0.744
Br 0.251 0.251 0.251
Br 0.463 0.463 0.463


Entry 9:
Here is a crystal of BeTl2Te relaxed with PBEsol from Alexandria via LeMat-Bulk. Energies are from SCAN.

Output
**Total magnetization**: 0.0 μB per formula unit
**DFT total energy**: -46.142 eV per atom
**Calculated volume**: 100.93 Å³ per cell

Unit cell a=4.178 b=4.178 c=5.782 alpha=90.00 beta=90.00 gamma=90.00
Sites, in units of the cell vectors:
Be 0.000 0.000 0.000
Tl 0.000 0.500 0.500
Tl 0.500 0.000 0.500
Te 0.500 0.500 0.000


Entry 10:
Here is a crystal of Sc2Hg relaxed with PBEsol from Alexandria via LeMat-Bulk. Energies are from SCAN.

Output
**Total magnetization**: 0.0 μB per formula unit
**Calculated formation energy**: 150 meV per atom
**Calculated volume**: 130.95 Å³ per cell

Unit cell a=5.700 b=5.700 c=5.700 alpha=60.00 beta=60.00 gamma=60.00
Sites, in units of the cell vectors:
Sc 0.000 0.000 0.000
Sc 0.000 0.000 0.500
Sc 0.000 0.500 0.000
Sc 0.500 0.000 0.000
Hg 0.375 0.375 0.375
Hg 0.625 0.625 0.625


Entry 11:
Here is a crystal of Al2PtSe relaxed with PBEsol from Alexandria via LeMat-Bulk. Energies are from SCAN.

Output
**Total magnetization**: 0.0 μB per formula unit
**DFT total energy**: -26.801 eV per atom
**Calculated volume**: 63.52 Å³ per cell

Unit cell a=4.549 b=4.549 c=3.173 alpha=90.40 beta=90.40 gamma=104.59
Sites, in units of the cell vectors:
Al 0.000 0.500 0.000
Al 0.500 0.000 0.000
Pt 0.000 0.000 0.500
Se 0.500 0.500 0.500


Entry 12:
Here is a crystal of Ta2CoWF relaxed with PBEsol from Alexandria via LeMat-Bulk. Energies are from SCAN.

Output
**Total magnetization**: 0.0 μB per formula unit
**DFT total energy**: -43.593 eV per atom
**Calculated volume**: 91.41 Å³ per cell

Unit cell a=4.555 b=4.555 c=4.406 alpha=90.00 beta=90.00 gamma=90.00
Sites, in units of the cell vectors:
Ta 0.000 0.500 0.000
Ta 0.500 0.000 0.000
Co 0.000 0.000 0.000
W 0.000 0.000 0.500
F 0.500 0.500 0.500


Entry 13:
Here is a crystal of Cs2Ni3S4 relaxed with PBEsol from Alexandria via LeMat-Bulk. Energies are from SCAN.

Output
**Total magnetization**: 0.0 μB per formula unit
**DFT total energy**: -18.971 eV per atom
**Calculated volume**: 431.64 Å³ per cell

Unit cell a=5.779 b=5.779 c=14.923 alpha=90.00 beta=90.00 gamma=120.00
Sites, in units of the cell vectors:
Cs 0.333 0.667 0.091
Cs 0.333 0.667 0.409
Cs 0.667 0.333 0.591
Cs 0.667 0.333 0.909
Ni 0.166 0.333 0.750
Ni 0.166 0.834 0.750
Ni 0.333 0.166 0.250
Ni 0.667 0.834 0.750
Ni 0.834 0.166 0.250
Ni 0.834 0.667 0.250
S 0.000 0.000 0.156
S 0.000 0.000 0.344
S 0.000 0.000 0.656
S 0.000 0.000 0.844
S 0.333 0.667 0.655
S 0.333 0.667 0.845
S 0.667 0.333 0.155
S 0.667 0.333 0.345


Entry 14:
Here is a crystal of MgSc2Cu relaxed with PBEsol from Alexandria via LeMat-Bulk. Energies are from SCAN.

Output
**Total magnetization**: 0.0 μB per formula unit
**Calculated formation energy**: -106 meV per atom
**Calculated volume**: 76.11 Å³ per cell

Unit cell a=4.695 b=4.695 c=3.453 alpha=90.00 beta=90.00 gamma=90.00
Sites, in units of the cell vectors:
Mg 0.000 0.000 0.000
Sc 0.000 0.500 0.500
Sc 0.500 0.000 0.500
Cu 0.500 0.500 0.000


Entry 15:
Here is a crystal of BaNi3Mo relaxed with PBEsol from Alexandria via LeMat-Bulk. Energies are from SCAN.

Output
**Total magnetization**: 0.0 μB per formula unit
**Calculated formation energy**: 760 meV per atom
**Calculated volume**: 99.39 Å³ per cell

Unit cell a=4.632 b=4.632 c=4.632 alpha=90.00 beta=90.00 gamma=90.00
Sites, in units of the cell vectors:
Ba 0.000 0.000 0.000
Ni 0.000 0.500 0.500
Ni 0.500 0.000 0.500
Ni 0.500 0.500 0.000
Mo 0.500 0.500 0.500


Entry 16:
Here is a crystal of Co2PtW relaxed with PBEsol from Alexandria via LeMat-Bulk. Energies are from SCAN.

Output
**Total magnetization**: 2.4 μB per formula unit
**Calculated formation energy**: -119 meV per atom
**Calculated volume**: 50.33 Å³ per cell

Unit cell a=4.574 b=4.574 c=4.574 alpha=132.95 beta=132.95 gamma=68.74
Sites, in units of the cell vectors:
Co 0.000 0.000 0.000
Co 0.750 0.250 0.500
Pt 0.250 0.750 0.500
W 0.500 0.500 0.000


Entry 17:
Here is a crystal of KPCO2 relaxed with PBEsol from Alexandria via LeMat-Bulk. Energies are from SCAN.

Output
**Total magnetization**: 3.6 μB per formula unit
**DFT total energy**: -5.787 eV per atom
**Calculated volume**: 118.15 Å³ per cell

Unit cell a=4.323 b=4.323 c=6.322 alpha=90.00 beta=90.00 gamma=90.00
Sites, in units of the cell vectors:
K 0.000 0.000 0.000
P 0.000 0.000 0.500
C 0.500 0.500 0.500
O 0.000 0.500 0.000
O 0.500 0.000 0.000


Entry 18:
Here is a crystal of PIrSe3 relaxed with PBEsol from Alexandria via LeMat-Bulk. Energies are from SCAN.

Output
**Total magnetization**: 0.0 μB per formula unit
**DFT total energy**: -26.979 eV per atom
**Calculated volume**: 97.28 Å³ per cell

Unit cell a=4.599 b=4.599 c=4.599 alpha=90.00 beta=90.00 gamma=90.00
Sites, in units of the cell vectors:
P 0.000 0.000 0.000
Ir 0.500 0.500 0.500
Se 0.000 0.000 0.500
Se 0.000 0.500 0.000
Se 0.500 0.000 0.000


Entry 19:
Here is a crystal of YBeAl2 relaxed with PBEsol from Alexandria via LeMat-Bulk. Energies are from SCAN.

Output
**Total magnetization**: 0.1 μB per formula unit
**Calculated formation energy**: 54 meV per atom
**Calculated volume**: 72.98 Å³ per cell

Unit cell a=5.190 b=5.190 c=5.190 alpha=133.19 beta=133.19 gamma=68.35
Sites, in units of the cell vectors:
Y 0.000 0.000 0.000
Be 0.500 0.500 0.000
Al 0.250 0.750 0.500
Al 0.750 0.250 0.500


Entry 20:
Here is a crystal of CsGa2Pb2 relaxed with PBEsol from Alexandria via LeMat-Bulk. Energies are from SCAN.

Output
**Total magnetization**: 0.0 μB per formula unit
**Calculated formation energy**: -167 meV per atom
**Calculated volume**: 152.48 Å³ per cell

Unit cell a=6.865 b=6.865 c=6.865 alpha=136.29 beta=136.29 gamma=63.53
Sites, in units of the cell vectors:
Cs 0.000 0.000 0.000
Ga 0.250 0.750 0.500
Ga 0.750 0.250 0.500
Pb 0.367 0.367 0.000
Pb 0.633 0.633 0.000


Entry 21:
Here is a crystal of NaNb2AsO8 relaxed with PBEsol from Alexandria via LeMat-Bulk. Energies are from SCAN.

Output
**Total magnetization**: 0.0 μB per formula unit
**DFT total energy**: -14.011 eV per atom
**Calculated volume**: 634.43 Å³ per cell

Unit cell a=4.933 b=8.608 c=15.177 alpha=90.00 beta=100.09 gamma=90.00
Sites, in units of the cell vectors:
Na 0.036 0.021 0.118
Na 0.036 0.479 0.618
Na 0.964 0.521 0.382
Na 0.964 0.979 0.882
Nb 0.047 0.072 0.640
Nb 0.047 0.428 0.140
Nb 0.448 0.207 0.481
Nb 0.448 0.293 0.981
Nb 0.552 0.707 0.019
Nb 0.552 0.793 0.519
Nb 0.953 0.572 0.860
Nb 0.953 0.928 0.360
As 0.390 0.738 0.234
As 0.390 0.762 0.734
As 0.610 0.238 0.266
As 0.610 0.262 0.766
O 0.151 0.111 0.391
O 0.151 0.389 0.891
O 0.172 0.620 0.757
O 0.172 0.880 0.257
O 0.197 0.715 0.932
O 0.197 0.785 0.432
O 0.273 0.123 0.005
O 0.273 0.377 0.505
O 0.273 0.555 0.248
O 0.273 0.945 0.748
O 0.294 0.243 0.200
O 0.294 0.257 0.700
O 0.317 0.044 0.562
O 0.317 0.456 0.062
O 0.394 0.716 0.624
O 0.394 0.784 0.124
O 0.606 0.216 0.876
O 0.606 0.284 0.376
O 0.683 0.544 0.938
O 0.683 0.956 0.438
O 0.706 0.743 0.300
O 0.706 0.757 0.800
O 0.727 0.055 0.252
O 0.727 0.445 0.752
O 0.727 0.623 0.495
O 0.727 0.877 0.995
O 0.803 0.215 0.568
O 0.803 0.285 0.068
O 0.828 0.120 0.743
O 0.828 0.380 0.243
O 0.849 0.611 0.109
O 0.849 0.889 0.609


Entry 22:
Here is a crystal of Y2CdTc relaxed with PBEsol from Alexandria via LeMat-Bulk. Energies are from SCAN.

Output
**Total magnetization**: 0.0 μB per formula unit
**Calculated formation energy**: 171 meV per atom
**Calculated volume**: 83.22 Å³ per cell

Unit cell a=4.901 b=4.901 c=4.901 alpha=60.00 beta=60.00 gamma=60.00
Sites, in units of the cell vectors:
Y 0.000 0.000 0.000
Y 0.250 0.250 0.250
Cd 0.500 0.500 0.500
Tc 0.750 0.750 0.750


Entry 23:
Here is a crystal of LiTiAlO4 relaxed with PBEsol from Alexandria via LeMat-Bulk. Energies are from SCAN.

Output
**Total magnetization**: 0.0 μB per formula unit
**DFT total energy**: -10.420 eV per atom
**Calculated volume**: 136.53 Å³ per cell

Unit cell a=5.781 b=5.781 c=5.781 alpha=121.01 beta=119.04 gamma=89.97
Sites, in units of the cell vectors:
Li 0.382 0.132 0.250
Li 0.618 0.868 0.750
Ti 0.000 0.500 0.500
Ti 0.500 0.500 0.000
Al 0.000 0.000 0.500
Al 0.000 0.500 0.000
O 0.205 0.738 0.467
O 0.229 0.262 0.967
O 0.238 0.258 0.520
O 0.238 0.718 0.980
O 0.762 0.282 0.020
O 0.762 0.742 0.480
O 0.771 0.738 0.033
O 0.795 0.262 0.533


Entry 24:
Here is a crystal of LaBeFe2 relaxed with PBEsol from Alexandria via LeMat-Bulk. Energies are from SCAN.

Output
**Total magnetization**: 1.6 μB per formula unit
**Calculated formation energy**: 94 meV per atom
**Calculated volume**: 64.23 Å³ per cell

Unit cell a=5.481 b=5.481 c=5.481 alpha=41.09 beta=41.09 gamma=41.09
Sites, in units of the cell vectors:
La 0.000 0.000 0.000
Be 0.187 0.187 0.187
Fe 0.497 0.497 0.497
Fe 0.814 0.814 0.814